a) A plane-wave DFT calculation with PBE was carried out for a relaxed InCo2Sb2 crystal.

Summary:
Space group ... I4/mmm (139)
Fermi-level density of states ... 7.58 states/eV per cell
Spin magnetization ... 0.00 μB/atom

Unit cell a=3.835 b=3.835 c=14.903 alpha=90.00 beta=90.00 gamma=90.00
Fractional coordinates of all 10 atoms:
In 0.000 0.000 0.000
In 0.500 0.500 0.500
Co 0.000 0.500 0.250
Co 0.000 0.500 0.750
Co 0.500 0.000 0.250
Co 0.500 0.000 0.750
Sb 0.000 0.000 0.357
Sb 0.000 0.000 0.643
Sb 0.500 0.500 0.143
Sb 0.500 0.500 0.857

=====

b) A plane-wave DFT calculation with PBE was carried out for a relaxed InCo2Sb2 crystal.

Summary:
Space group ... I4/mmm (139)
Fermi-level density of states ... 8.80 states/eV per cell
Spin magnetization ... 0.31 μB/atom

Unit cell a=4.530 b=4.530 c=9.963 alpha=90.00 beta=90.00 gamma=90.00
Fractional coordinates of all 10 atoms:
In 0.000 0.000 0.000
In 0.500 0.500 0.500
Co 0.000 0.000 0.383
Co 0.000 0.000 0.617
Co 0.500 0.500 0.117
Co 0.500 0.500 0.883
Sb 0.000 0.500 0.250
Sb 0.000 0.500 0.750
Sb 0.500 0.000 0.250
Sb 0.500 0.000 0.750

=====

c) A plane-wave DFT calculation with PBE was carried out for a relaxed InCo2Sb2 crystal.

Summary:
Space group ... P4/mbm (127)
Fermi-level density of states ... 10.08 states/eV per cell
Spin magnetization ... 0.18 μB/atom

Unit cell a=7.469 b=7.469 c=3.275 alpha=90.00 beta=90.00 gamma=90.00
Fractional coordinates of all 10 atoms:
In 0.000 0.000 0.000
In 0.500 0.500 0.000
Co 0.130 0.370 0.000
Co 0.370 0.870 0.000
Co 0.630 0.130 0.000
Co 0.870 0.630 0.000
Sb 0.156 0.656 0.500
Sb 0.344 0.156 0.500
Sb 0.656 0.844 0.500
Sb 0.844 0.344 0.500

=====

Stability ranking, top and bottom: a) is the most stable and b) is the least stable.

=====

a) A plane-wave DFT calculation with PBE was carried out for a relaxed Sc3InCo crystal.

Summary:
Space group ... Pm-3m (221)
Fermi-level density of states ... 4.83 states/eV per cell
Spin magnetization ... 0.00 μB/atom

Unit cell a=4.825 b=4.825 c=4.825 alpha=90.00 beta=90.00 gamma=90.00
Fractional coordinates of all 5 atoms:
Sc 0.000 0.000 0.500
Sc 0.000 0.500 0.000
Sc 0.500 0.000 0.000
In 0.500 0.500 0.500
Co 0.000 0.000 0.000

=====

b) A plane-wave DFT calculation with PBE was carried out for a relaxed Sc3InCo crystal.

Summary:
Space group ... P6_3/mmc (194)
Fermi-level density of states ... 10.28 states/eV per cell
Spin magnetization ... 0.00 μB/atom

Unit cell a=6.906 b=6.906 c=5.116 alpha=90.00 beta=90.00 gamma=120.00
Fractional coordinates of all 10 atoms:
Sc 0.178 0.356 0.250
Sc 0.178 0.822 0.250
Sc 0.356 0.178 0.750
Sc 0.644 0.822 0.250
Sc 0.822 0.178 0.750
Sc 0.822 0.644 0.750
In 0.333 0.667 0.750
In 0.667 0.333 0.250
Co 0.000 0.000 0.000
Co 0.000 0.000 0.500

=====

Stability ranking, top and bottom: b) is the most stable and a) is the least stable.

=====

a) A plane-wave DFT calculation with PBE was carried out for a relaxed Sc4InCo crystal.

Summary:
Space group ... C2/c (15)
Fermi-level density of states ... 13.22 states/eV per cell
Spin magnetization ... 0.10 μB/atom

Unit cell a=8.216 b=8.216 c=6.277 alpha=107.57 beta=107.57 gamma=41.39
Fractional coordinates of all 12 atoms:
Sc 0.019 0.790 0.508
Sc 0.203 0.424 0.873
Sc 0.210 0.981 0.992
Sc 0.424 0.203 0.373
Sc 0.576 0.797 0.627
Sc 0.790 0.019 0.008
Sc 0.797 0.576 0.127
Sc 0.981 0.210 0.492
In 0.411 0.589 0.250
In 0.589 0.411 0.750
Co 0.000 0.500 0.500
Co 0.500 0.000 0.000

=====

b) A plane-wave DFT calculation with PBE was carried out for a relaxed Sc4InCo crystal.

Summary:
Space group ... C2/c (15)
Fermi-level density of states ... 13.06 states/eV per cell
Spin magnetization ... 0.00 μB/atom

Unit cell a=7.374 b=7.374 c=5.493 alpha=99.97 beta=99.97 gamma=111.72
Fractional coordinates of all 12 atoms:
Sc 0.052 0.728 0.947
Sc 0.201 0.355 0.627
Sc 0.272 0.948 0.553
Sc 0.355 0.201 0.127
Sc 0.645 0.799 0.873
Sc 0.728 0.052 0.447
Sc 0.799 0.645 0.373
Sc 0.948 0.272 0.053
In 0.372 0.628 0.250
In 0.628 0.372 0.750
Co 0.001 0.999 0.750
Co 0.999 0.001 0.250

=====

c) A plane-wave DFT calculation with PBE was carried out for a relaxed Sc4InCo crystal.

Summary:
Space group ... F-43m (216)
Fermi-level density of states ... 8.50 states/eV per cell
Spin magnetization ... 0.22 μB/atom

Unit cell a=5.678 b=5.678 c=5.678 alpha=60.00 beta=60.00 gamma=60.00
Fractional coordinates of all 6 atoms:
Sc 0.124 0.124 0.124
Sc 0.124 0.124 0.627
Sc 0.124 0.627 0.124
Sc 0.627 0.124 0.124
In 0.500 0.500 0.500
Co 0.750 0.750 0.750

=====

Stability ranking, top and bottom: b) is the most stable and c) is the least stable.

=====

a) A plane-wave DFT calculation with PBE was carried out for a relaxed Sc8InCo2 crystal.

Summary:
Space group ... Imm2 (44)
Fermi-level density of states ... 7.89 states/eV per cell
Spin magnetization ... 0.00 μB/atom

Unit cell a=8.373 b=8.373 c=8.373 alpha=145.86 beta=57.06 gamma=135.74
Fractional coordinates of all 11 atoms:
Sc 0.000 0.000 0.000
Sc 0.071 0.398 0.673
Sc 0.151 0.863 0.289
Sc 0.250 0.750 0.500
Sc 0.418 0.527 0.891
Sc 0.574 0.863 0.711
Sc 0.636 0.527 0.109
Sc 0.725 0.398 0.327
In 0.696 0.196 0.500
Co 0.333 0.161 0.172
Co 0.988 0.161 0.828

=====

b) A plane-wave DFT calculation with PBE was carried out for a relaxed Sc8InCo2 crystal.

Summary:
Space group ... C2/m (12)
Fermi-level density of states ... 12.76 states/eV per cell
Spin magnetization ... 0.09 μB/atom

Unit cell a=7.395 b=7.395 c=4.825 alpha=97.24 beta=97.24 gamma=113.04
Fractional coordinates of all 11 atoms:
Sc 0.113 0.113 0.802
Sc 0.170 0.435 0.426
Sc 0.248 0.752 0.000
Sc 0.435 0.170 0.426
Sc 0.565 0.830 0.574
Sc 0.752 0.248 0.000
Sc 0.830 0.565 0.574
Sc 0.887 0.887 0.198
In 0.500 0.500 0.000
Co 0.187 0.813 0.500
Co 0.813 0.187 0.500

=====

Stability ranking, top and bottom: a) is the most stable and b) is the least stable.

=====

a) A plane-wave DFT calculation with PBE was carried out for a relaxed InCo3Se crystal.

Summary:
Space group ... Pm-3m (221)
Fermi-level density of states ... 6.31 states/eV per cell
Spin magnetization ... 0.48 μB/atom

Unit cell a=4.343 b=4.343 c=4.343 alpha=90.00 beta=90.00 gamma=90.00
Fractional coordinates of all 5 atoms:
In 0.000 0.000 0.000
Co 0.000 0.500 0.500
Co 0.500 0.000 0.500
Co 0.500 0.500 0.000
Se 0.500 0.500 0.500

=====

b) A plane-wave DFT calculation with PBE was carried out for a relaxed InCo3Se crystal.

Summary:
Space group ... Pm-3m (221)
Fermi-level density of states ... 12.08 states/eV per cell
Spin magnetization ... 0.87 μB/atom

Unit cell a=4.725 b=4.725 c=4.725 alpha=90.00 beta=90.00 gamma=90.00
Fractional coordinates of all 5 atoms:
In 0.000 0.000 0.000
Co 0.000 0.000 0.500
Co 0.000 0.500 0.000
Co 0.500 0.000 0.000
Se 0.500 0.500 0.500

=====

Stability ranking, top and bottom: a) is the most stable and b) is the least stable.

=====

a) A plane-wave DFT calculation with PBE was carried out for a relaxed InCo3Si crystal.

Summary:
Space group ... Pm-3m (221)
Fermi-level density of states ... 4.41 states/eV per cell
Spin magnetization ... 0.36 μB/atom

Unit cell a=4.196 b=4.196 c=4.196 alpha=90.00 beta=90.00 gamma=90.00
Fractional coordinates of all 5 atoms:
In 0.000 0.000 0.000
Co 0.000 0.500 0.500
Co 0.500 0.000 0.500
Co 0.500 0.500 0.000
Si 0.500 0.500 0.500

=====

b) A plane-wave DFT calculation with PBE was carried out for a relaxed InCo3Si crystal.

Summary:
Space group ... Pm-3m (221)
Fermi-level density of states ... 19.52 states/eV per cell
Spin magnetization ... 0.88 μB/atom

Unit cell a=4.645 b=4.645 c=4.645 alpha=90.00 beta=90.00 gamma=90.00
Fractional coordinates of all 5 atoms:
In 0.000 0.000 0.000
Co 0.000 0.000 0.500
Co 0.000 0.500 0.000
Co 0.500 0.000 0.000
Si 0.500 0.500 0.500

=====

Stability ranking, top and bottom: a) is the most stable and b) is the least stable.